Below is a relaxed P2PbCl crystal, with properties calculated at the PBEsol level.

abc: 4.1963 4.1963 5.7550
angles: 90.00 90.00 90.00
Closest atoms and distances in Å follow each position.
Positions (direct):
Pb 0.5000 0.5000 0.0000  2 Cl 2.88, 8 P 3.14
P 0.0000 0.0000 0.1778  1 P 2.05
P 0.0000 0.0000 0.8222  1 P 2.05
Cl 0.5000 0.5000 0.5000  2 Pb 2.88

Values from the calculation:
* E_tot: -16.93 eV/cell
* energy relative to the lowest polymorph listed for this composition: 321 meV/atom
* raw formation energy: 0.16 eV/atom